(1)
## PmAlAu2 (meta-GGA SCAN)

Data for a crystal of PmAlAu2 relaxed with PBEsol.

Cell: 4.836 4.836 4.836 Å, 60.00 60.00 60.00°
Positions (direct):
Au: 0.750 0.750 0.750
Au: 0.250 0.250 0.250
Al: 0.500 0.500 0.500
Pm: 0.000 0.000 0.000

Values from the calculation:
DOS at the Fermi energy = 1.8 states/eV/cell
Space-group type = No. 225
Total moment = 0.00 μB/f.u.
Formation energy from the elements = -846 meV per atom
Electronic total energy = -48.36 eV/atom

(2)
## PrAlAu (meta-GGA SCAN)

Data for a crystal of PrAlAu relaxed with PBEsol.

Cell: 4.556 7.525 7.627 Å, 90.00 90.00 90.00°
Positions (direct):
Pr: 0.750 0.986 0.687
Pr: 0.750 0.486 0.813
Pr: 0.250 0.014 0.313
Pr: 0.250 0.514 0.187
Au: 0.750 0.194 0.094
Au: 0.250 0.806 0.906
Au: 0.250 0.306 0.594
Au: 0.750 0.694 0.406
Al: 0.250 0.170 0.918
Al: 0.750 0.830 0.082
Al: 0.750 0.330 0.418
Al: 0.250 0.670 0.582

Values from the calculation:
DOS at the Fermi energy = 8.8 states/eV/cell
Space-group type = No. 62
Total moment = 0.00 μB/f.u.
Formation energy from the elements = -970 meV per atom
Electronic total energy = -41.05 eV/atom

(3)
## AlPtAu2 (meta-GGA SCAN)

Data for a crystal of AlPtAu2 relaxed with PBEsol.

Cell: 2.976 3.021 6.973 Å, 90.00 90.00 90.00°
Positions (direct):
Au: 0.000 0.000 0.974
Au: 0.500 0.500 0.255
Al: 0.500 0.500 0.736
Pt: 0.000 0.000 0.535

Values from the calculation:
DOS at the Fermi energy = 1.2 states/eV/cell
Space-group type = No. 25
Total moment = 0.00 μB/f.u.
Formation energy from the elements = -532 meV per atom
Electronic total energy = -54.60 eV/atom

(4)
## AlPtAu (meta-GGA SCAN)

Data for a crystal of AlPtAu relaxed with PBEsol.

Cell: 2.965 4.259 4.259 Å, 120.00 90.00 90.00°
Positions (direct):
Au: 0.707 0.333 0.667
Al: 0.069 0.000 0.000
Pt: 0.224 0.667 0.333

Values from the calculation:
DOS at the Fermi energy = 1.0 states/eV/cell
Space-group type = No. 156
Total moment = 0.00 μB/f.u.
Formation energy from the elements = -591 meV per atom
Electronic total energy = -49.62 eV/atom

(5)
## AlPtAu2 (meta-GGA SCAN)

Data for a crystal of AlPtAu2 relaxed with PBEsol.

Cell: 2.911 2.911 8.817 Å, 80.50 80.50 60.00°
Positions (direct):
Au: 0.992 0.992 0.023
Au: 0.751 0.751 0.746
Al: 0.248 0.248 0.257
Pt: 0.509 0.509 0.474

Values from the calculation:
DOS at the Fermi energy = 1.0 states/eV/cell
Space-group type = No. 160
Total moment = 0.00 μB/f.u.
Formation energy from the elements = -436 meV per atom
Electronic total energy = -54.50 eV/atom

(6)
## AlPtAu2 (meta-GGA SCAN)

Data for a crystal of AlPtAu2 relaxed with PBEsol.

Cell: 2.888 4.629 5.141 Å, 106.66 106.31 90.00°
Positions (direct):
Au: 0.228 0.235 0.455
Au: 0.772 0.765 0.545
Al: 0.500 0.000 0.000
Pt: 0.000 0.500 0.000

Values from the calculation:
DOS at the Fermi energy = 1.2 states/eV/cell
Space-group type = No. 12
Total moment = 0.00 μB/f.u.
Formation energy from the elements = -437 meV per atom
Electronic total energy = -54.50 eV/atom

(7)
## AlPt2Au (meta-GGA SCAN)

Data for a crystal of AlPt2Au relaxed with PBEsol.

Cell: 3.805 3.974 3.974 Å, 90.00 90.00 90.00°
Positions (direct):
Au: 0.500 0.000 0.000
Al: 0.500 0.500 0.500
Pt: 0.000 0.000 0.500
Pt: 0.000 0.500 0.000

Values from the calculation:
DOS at the Fermi energy = 0.4 states/eV/cell
Space-group type = No. 123
Total moment = 0.00 μB/f.u.
Formation energy from the elements = -658 meV per atom
Electronic total energy = -54.98 eV/atom

(8)
## AlPtAu2 (meta-GGA SCAN)

Data for a crystal of AlPtAu2 relaxed with PBEsol.

Cell: 3.038 3.743 5.558 Å, 90.00 90.00 90.00°
Positions (direct):
Au: 0.000 0.000 0.743
Au: 0.000 0.000 0.257
Al: 0.500 0.500 0.500
Pt: 0.500 0.500 0.000

Values from the calculation:
DOS at the Fermi energy = 1.5 states/eV/cell
Space-group type = No. 47
Total moment = 0.00 μB/f.u.
Formation energy from the elements = -325 meV per atom
Electronic total energy = -54.39 eV/atom

(9)
## AlPtAu2 (meta-GGA SCAN)

Data for a crystal of AlPtAu2 relaxed with PBEsol.

Cell: 2.921 2.921 8.753 Å, 80.39 80.39 60.00°
Positions (direct):
Au: 0.256 0.256 0.233
Au: 0.744 0.744 0.767
Al: 0.000 0.000 0.000
Pt: 0.500 0.500 0.500

Values from the calculation:
DOS at the Fermi energy = 2.1 states/eV/cell
Space-group type = No. 166
Total moment = 0.00 μB/f.u.
Formation energy from the elements = -246 meV per atom
Electronic total energy = -54.31 eV/atom

(10)
## Rb2AlAu (meta-GGA SCAN)

Data for a crystal of Rb2AlAu relaxed with PBEsol.

Cell: 4.838 9.398 9.398 Å, 86.20 75.08 75.08°
Positions (direct):
Au: 0.750 0.500 0.500
Au: 0.000 0.000 0.000
Al: 0.250 0.500 0.500
Al: 0.500 0.000 0.000
Rb: 0.943 0.182 0.682
Rb: 0.807 0.818 0.318
Rb: 0.375 0.682 0.818
Rb: 0.875 0.318 0.182

Values from the calculation:
DOS at the Fermi energy = 6.0 states/eV/cell
Space-group type = No. 122
Total moment = 0.00 μB/f.u.
Formation energy from the elements = -138 meV per atom
Electronic total energy = -29.73 eV/atom

(11)
## Al2ReAu (meta-GGA SCAN)

Data for a crystal of Al2ReAu relaxed with PBEsol.

Cell: 4.323 4.353 4.323 Å, 60.23 90.00 119.77°
Positions (direct):
Re: 0.500 0.000 0.500
Au: 0.000 0.000 0.000
Al: 0.250 0.500 0.250
Al: 0.750 0.500 0.750

Values from the calculation:
DOS at the Fermi energy = 1.1 states/eV/cell
Offset from the most stable computed form = 9.9 kJ per mole of atoms
Space-group type = No. 139
Total moment = 0.00 μB/f.u.
Formation energy from the elements = -323 meV per atom
Electronic total energy = -39.26 eV/atom

(12)
## AlReAu3 (meta-GGA SCAN)

Data for a crystal of AlReAu3 relaxed with PBEsol.

Cell: 4.611 4.611 4.611 Å, 90.00 90.00 90.00°
Last column: magnetic moment on the atom in μB.
Positions (direct):
Re: 0.500 0.500 0.500  3.13
Au: 0.000 0.500 0.000  -0.01
Au: 0.000 0.000 0.500  -0.01
Au: 0.500 0.000 0.000  -0.01
Al: 0.000 0.000 0.000  0.01

Values from the calculation:
DOS at the Fermi energy = 2.6 states/eV/cell
Space-group type = No. 221
Total moment = 3.78 μB/f.u.
Formation energy from the elements = 1191 meV per atom
Electronic total energy = -56.07 eV/atom

(13)
## Al2ReAu (meta-GGA SCAN)

Data for a crystal of Al2ReAu relaxed with PBEsol.

Cell: 3.673 3.673 5.095 Å, 111.13 111.13 90.00°
Positions (direct):
Re: 0.250 0.750 0.500
Au: 0.500 0.500 0.000
Al: 0.000 0.000 0.000
Al: 0.750 0.250 0.500

Values from the calculation:
DOS at the Fermi energy = 0.9 states/eV/cell
Offset from the most stable computed form = 14.0 kJ per mole of atoms
Space-group type = No. 119
Total moment = 0.00 μB/f.u.
Formation energy from the elements = -281 meV per atom
Electronic total energy = -39.22 eV/atom

(14)
## Al2ReAu (meta-GGA SCAN)

Data for a crystal of Al2ReAu relaxed with PBEsol.

Cell: 3.159 3.159 5.904 Å, 90.00 90.00 90.00°
Positions (direct):
Re: 0.500 0.500 0.500
Au: 0.500 0.500 0.000
Al: 0.000 0.000 0.727
Al: 0.000 0.000 0.273

Values from the calculation:
DOS at the Fermi energy = 1.9 states/eV/cell
Offset from the most stable computed form = 0.0 kJ per mole of atoms
Space-group type = No. 123
Total moment = 0.00 μB/f.u.
Formation energy from the elements = -425 meV per atom
Electronic total energy = -39.36 eV/atom

(15)
## AlRe2Au (meta-GGA SCAN)

Data for a crystal of AlRe2Au relaxed with PBEsol.

Cell: 3.780 3.780 4.980 Å, 112.30 112.30 90.00°
Last column: magnetic moment on the atom in μB.
Positions (direct):
Re: 0.750 0.250 0.500  0.42
Re: 0.250 0.750 0.500  0.42
Au: 0.000 0.000 0.000  0.06
Al: 0.500 0.500 0.000  0.00

Values from the calculation:
DOS at the Fermi energy = 4.1 states/eV/cell
Space-group type = No. 139
Total moment = 1.07 μB/f.u.
Formation energy from the elements = 261 meV per atom
Electronic total energy = -54.51 eV/atom